{
  "formula": "Fe2NiBIr",
  "functional": "PBE-GGA",
  "state": "optimized geometry",
  "formation_enthalpy_0k_ev_per_atom": 2.02,
  "total_magnetization_mub_per_fu": 7.88,
  "vol_a3_per_atom": 19.57,
  "lattice": [[4.637, 0.000, 0.000], [0.000, 4.637, 0.000], [0.000, 0.000, 4.550]],
  "species": ["Ni", "B", "Fe", "Fe", "Ir"],
  "frac_coords": [[0.000, 0.000, 0.500], [0.500, 0.500, 0.500], [0.000, 0.500, 0.000], [0.500, 0.000, 0.000], [0.000, 0.000, 0.000]]
}